Computed, not measured: a crystal of Be2GeAu relaxed with PBEsol at the meta-GGA SCAN level of DFT.

Cell and atoms, written as POSCAR:
```
Be2GeAu
1.0
5.309 -0.046 0.000
-2.258 4.805 0.000
-1.525 -2.379 4.494
Be Ge Au
4 2 2
direct
0.372 0.875 0.997
0.878 0.375 0.003
0.625 0.628 0.503
0.125 0.122 0.497
0.750 0.250 0.500
0.500 0.500 0.000
0.000 0.000 0.000
0.250 0.750 0.500
```

Values from the calculation:
Space group = I-42d
Density of states at the Fermi level = 2.55 states/eV/cell
Energy of formation = 0.370 eV per atom
Volume = 14.3 Å³ per atom
Energy = -190.94 eV/cell